This record from Alexandria via LeMat-Bulk describes crystalline LaPuCdPt at its relaxed geometry. The functional is PBE.

abc: 5.2491 5.2491 5.2491
angles: 60.00 60.00 60.00
Last column: magnetic moment on the atom in μB.
Sites, in units of the cell vectors:
Cd (0.2500, 0.2500, 0.2500)  0.02
Pu (0.0000, 0.0000, 0.0000)  5.41
La (0.5000, 0.5000, 0.5000)  0.08
Pt (0.7500, 0.7500, 0.7500)  -0.06

Output
Its space-group type is No. 216. For the calculated formation energy, the calculation gives -0.4462 eV per atom. Its raw total energy is -7.00 eV/atom.

=====

This record from Alexandria via LeMat-Bulk describes crystalline La2CdSb3Pt4 at its relaxed geometry. The functional is PBE.

abc: 4.5748 4.5748 10.9872
angles: 90.00 90.00 90.00
Sites, in units of the cell vectors:
Sb (0.5000, 0.0000, 0.8702)
Sb (0.0000, 0.0000, 0.5000)
Sb (0.0000, 0.5000, 0.1298)
Pt (0.0000, 0.0000, 0.0000)
Pt (0.0000, 0.5000, 0.3644)
Pt (0.5000, 0.5000, 0.0000)
Pt (0.5000, 0.0000, 0.6356)
La (0.5000, 0.0000, 0.2366)
La (0.0000, 0.5000, 0.7634)
Cd (0.5000, 0.5000, 0.5000)

Output
Its space-group type is No. 115. Its formation energy without anion corrections is -0.8667 eV/atom. Its raw total energy is -5.60 eV/atom.

=====

What did the second record say?
This record from Alexandria via LeMat-Bulk describes crystalline La2CdSb3Pt4 at its relaxed geometry. The functional is PBE.

abc: 4.5748 4.5748 10.9872
angles: 90.00 90.00 90.00
Sites, in units of the cell vectors:
Sb (0.5000, 0.0000, 0.8702)
Sb (0.0000, 0.0000, 0.5000)
Sb (0.0000, 0.5000, 0.1298)
Pt (0.0000, 0.0000, 0.0000)
Pt (0.0000, 0.5000, 0.3644)
Pt (0.5000, 0.5000, 0.0000)
Pt (0.5000, 0.0000, 0.6356)
La (0.5000, 0.0000, 0.2366)
La (0.0000, 0.5000, 0.7634)
Cd (0.5000, 0.5000, 0.5000)

Output
Its space-group type is No. 115. Its formation energy without anion corrections is -0.8667 eV/atom. Its raw total energy is -5.60 eV/atom.